A plane-wave DFT calculation with GGA-PBEsol was carried out for YIr3Cl after structural relaxation.

Values from the calculation:
E_form (uncorrected) in eV per formula unit: 12.12
Magnetization in μB/cell: 3.16

Lattice parameters (Å, degrees): 4.968 4.968 4.968 90.00 90.00 90.00
Sites, in units of the cell vectors:
Ir  0.000  0.500  0.000
Cl  0.500  0.500  0.500
Ir  0.500  0.000  0.000
Y  0.000  0.000  0.000
Ir  0.000  0.000  0.500